No. 1
AlReIr2 (PBEsol, optimized geometry); formation energy from the elements = -0.629 eV per formula unit
1.0
2.748 0.000 0.000
0.000 4.569 0.000
0.000 0.000 4.569
Re Ir Al
1 2 1
Direct
0.500 0.500 0.500 Re
0.000 0.000 0.500 Ir
0.000 0.500 0.000 Ir
0.500 0.000 0.000 Al

***

No. 2
Al2ReIr (PBEsol, optimized geometry); formation energy from the elements = 1.520 eV per formula unit
1.0
5.281 0.000 0.000
2.641 4.848 0.000
2.641 0.000 4.848
Re Ir Al
2 2 4
Direct
0.250 0.500 0.500 Re
0.500 0.000 0.000 Re
0.750 0.500 0.500 Ir
0.000 0.000 0.000 Ir
0.106 0.019 0.519 Al
0.644 0.981 0.481 Al
0.375 0.519 0.981 Al
0.875 0.481 0.019 Al

***

No. 3
AlRe2SbIr (PBEsol, optimized geometry); formation energy from raw total energies = 1911.2 meV per atom
1.0
4.758 0.000 0.000
0.000 4.758 0.000
0.000 0.000 4.878
Re Ir Al Sb
2 1 1 1
Direct
0.000 0.500 0.000 Re
0.500 0.000 0.000 Re
0.000 0.000 0.000 Ir
0.500 0.500 0.500 Al
0.000 0.000 0.500 Sb

***

No. 4
TaAlRe2Ir (PBEsol, optimized geometry); formation energy from the elements = 9.040 eV per formula unit
1.0
4.686 0.000 0.000
0.000 4.686 0.000
0.000 0.000 4.719
Re Ir Al Ta
2 1 1 1
Direct
0.000 0.500 0.000 Re
0.500 0.000 0.000 Re
0.000 0.000 0.000 Ir
0.500 0.500 0.500 Al
0.000 0.000 0.500 Ta

***

No. 5
Al2TlReIr (PBEsol, optimized geometry); formation energy from the elements = 5.664 eV per formula unit
1.0
-2.493 -0.616 -3.853
-3.044 -2.554 2.378
-2.700 4.216 1.072
Re Tl Ir Al
1 1 1 2
Direct
0.500 0.500 0.500 Re
0.000 0.000 0.500 Tl
0.000 0.000 0.000 Ir
0.000 0.500 0.000 Al
0.500 0.000 0.000 Al

***

No. 6
AlIrRh2 (PBEsol, optimized geometry); formation energy from the elements = -1.873 eV per formula unit
1.0
-1.836 -1.337 1.511
2.407 -3.850 -0.482
1.562 2.090 3.747
Ir Rh Al
1 2 1
Direct
0.500 0.000 0.000 Ir
0.000 0.000 0.500 Rh
0.000 0.500 0.000 Rh
0.500 0.500 0.500 Al